## KRb3Au3 (PBE-GGA)

Data for a relaxed structure of KRb3Au3.

```
data_KRb3Au3
_symmetry_space_group_name_H-M 'C 1 2/m 1'
_symmetry_Int_Tables_number 12
_cell_length_a 11.843
_cell_length_b 12.473
_cell_length_c 8.128
_cell_angle_alpha 90.00
_cell_angle_beta 92.59
_cell_angle_gamma 90.00
loop_
_symmetry_equiv_pos_as_xyz
'x,y,z'
'-x,-y,-z'
'-x,y,-z'
'x,-y,z'
'x+1/2,y+1/2,z'
'-x+1/2,-y+1/2,-z'
'-x+1/2,y+1/2,-z'
'x+1/2,-y+1/2,z'
loop_
_atom_site_label
_atom_site_type_symbol
_atom_site_fract_x
_atom_site_fract_y
_atom_site_fract_z
K1 K 0.240 0.000 0.413
Rb1 Rb 0.000 0.181 0.000
Rb2 Rb 0.000 0.252 0.500
Rb3 Rb 0.200 0.500 0.077
Au1 Au 0.036 0.000 0.680
Au2 Au 0.241 0.270 0.813
```

Values from the calculation:
* spin magnetization: 0.00 μB/cell
* mass density: 4.9 g cm⁻³
* formation enthalpy at 0 K: -0.238 eV per atom

---

## Mg2ScHg (PBE-GGA)

Data for a relaxed structure of Mg2ScHg.

```
data_Mg2ScHg
_symmetry_space_group_name_H-M 'P 1 m 1'
_symmetry_Int_Tables_number 6
_cell_length_a 3.254
_cell_length_b 4.669
_cell_length_c 6.100
_cell_angle_alpha 90.00
_cell_angle_beta 105.42
_cell_angle_gamma 90.00
loop_
_symmetry_equiv_pos_as_xyz
'x,y,z'
'x,-y,z'
loop_
_atom_site_label
_atom_site_type_symbol
_atom_site_fract_x
_atom_site_fract_y
_atom_site_fract_z
Mg1 Mg 0.000 0.000 0.000
Mg2 Mg 0.392 0.500 0.787
Sc1 Sc 0.657 0.500 0.313
Hg1 Hg 0.252 0.000 0.504
```

Values from the calculation:
* spin magnetization: 0.00 μB/cell
* mass density: 5.5 g cm⁻³
* formation enthalpy at 0 K: -0.185 eV per atom

---

## Ac3PmGe4 (PBE-GGA)

Data for a relaxed structure of Ac3PmGe4.

```
data_Ac3PmGe4
_symmetry_space_group_name_H-M 'I m m m'
_symmetry_Int_Tables_number 71
_symmetry_space_group_name_Hall '-I 2 2'
_cell_length_a 4.529
_cell_length_b 6.614
_cell_length_c 17.179
_cell_angle_alpha 90.00
_cell_angle_beta 90.00
_cell_angle_gamma 90.00
loop_
_atom_site_label
_atom_site_type_symbol
_atom_site_fract_x
_atom_site_fract_y
_atom_site_fract_z
Ac1 Ac 0.000 0.000 0.000
Ac2 Ac 0.000 0.500 0.196
Pm1 Pm 0.000 0.000 0.500
Ge1 Ge 0.000 0.310 0.373
```

Values from the calculation:
* spin magnetization: 0.08 μB/cell
* mass density: 7.2 g cm⁻³
* formation enthalpy at 0 K: -0.624 eV per atom

---

## Cr2C (PBE-GGA)

Data for a relaxed structure of Cr2C.

```
data_Cr2C
_symmetry_space_group_name_H-M 'P n m a'
_symmetry_Int_Tables_number 62
_cell_length_a 5.611
_cell_length_b 2.782
_cell_length_c 7.025
_cell_angle_alpha 90.00
_cell_angle_beta 90.00
_cell_angle_gamma 90.00
loop_
_symmetry_equiv_pos_as_xyz
'x,y,z'
'-x,-y,-z'
'-x+1/2,-y,z+1/2'
'x+1/2,y,-z+1/2'
'x+1/2,-y+1/2,-z+1/2'
'-x+1/2,y+1/2,z+1/2'
'-x,y+1/2,-z'
'x,-y+1/2,z'
loop_
_atom_site_label
_atom_site_type_symbol
_atom_site_fract_x
_atom_site_fract_y
_atom_site_fract_z
Cr1 Cr 0.009 0.250 0.181
Cr2 Cr 0.166 0.750 0.455
C1 C 0.198 0.250 0.670
```

Values from the calculation:
* spin magnetization: 0.00 μB/cell
* mass density: 7.0 g cm⁻³
* formation enthalpy at 0 K: -0.039 eV per atom

---

## Cs3Bi3Pt2 (PBE-GGA)

Data for a relaxed structure of Cs3Bi3Pt2.

```
data_Cs3Bi3Pt2
_symmetry_space_group_name_H-M 'C m c m'
_symmetry_Int_Tables_number 63
_symmetry_space_group_name_Hall '-C 2c 2'
_cell_length_a 4.931
_cell_length_b 14.234
_cell_length_c 17.698
_cell_angle_alpha 90.00
_cell_angle_beta 90.00
_cell_angle_gamma 90.00
loop_
_atom_site_label
_atom_site_type_symbol
_atom_site_fract_x
_atom_site_fract_y
_atom_site_fract_z
Cs1 Cs 0.000 0.047 0.107
Cs2 Cs 0.000 0.377 0.250
Bi1 Bi 0.000 0.311 0.047
Bi2 Bi 0.000 0.319 0.750
Pt1 Pt 0.000 0.252 0.603
```

Values from the calculation:
* spin magnetization: 0.00 μB/cell
* mass density: 7.6 g cm⁻³
* formation enthalpy at 0 K: -0.314 eV per atom

---

## KTaGaO5 (PBE-GGA)

Data for a relaxed structure of KTaGaO5.

```
data_KTaGaO5
_symmetry_space_group_name_H-M 'C 1 2/c 1'
_symmetry_Int_Tables_number 15
_cell_length_a 7.287
_cell_length_b 9.486
_cell_length_c 7.750
_cell_angle_alpha 90.00
_cell_angle_beta 116.07
_cell_angle_gamma 90.00
loop_
_symmetry_equiv_pos_as_xyz
'x,y,z'
'-x,-y,-z'
'-x,y,-z+1/2'
'x,-y,z+1/2'
'x+1/2,y+1/2,z'
'-x+1/2,-y+1/2,-z'
'-x+1/2,y+1/2,-z+1/2'
'x+1/2,-y+1/2,z+1/2'
loop_
_atom_site_label
_atom_site_type_symbol
_atom_site_fract_x
_atom_site_fract_y
_atom_site_fract_z
K1 K 0.000 0.175 0.250
Ta1 Ta 0.000 0.500 0.000
Ga1 Ga 0.000 0.191 0.750
O1 O 0.000 0.450 0.250
O2 O 0.078 0.303 0.597
O3 O 0.212 0.065 0.893
```

Values from the calculation:
* spin magnetization: 4.18 μB/cell
* uncorrected formation energy: -1613 kJ/mol of formula units
* mass density: 5.1 g cm⁻³